No. 1
# PBE-GGA K2BaAg2Br7, relaxed
data_K2BaAg2Br7
_chemical_formula_sum 'K2 Ba1 Ag2 Br7'
_symmetry_space_group_name_H-M 'P 1'
_symmetry_Int_Tables_number 1
_symmetry_space_group_name_Hall 'P 1'
_cell_length_a 5.448
_cell_length_b 5.448
_cell_length_c 14.238
_cell_angle_alpha 78.87
_cell_angle_beta 78.87
_cell_angle_gamma 89.32
loop_
_atom_site_label
_atom_site_fract_x
_atom_site_fract_y
_atom_site_fract_z
Ag1 0.399 0.399 0.203
Ag2 0.601 0.601 0.797
Br1 0.914 0.413 0.174
Br2 0.086 0.587 0.826
Br3 0.413 0.914 0.174
Br4 0.313 0.313 0.401
Br5 0.587 0.086 0.826
Br6 0.500 0.500 0.000
Br7 0.687 0.687 0.599
K1 0.218 0.218 0.638
K2 0.782 0.782 0.362
Ba1 0.000 0.000 0.000
# Crystal system   monoclinic
# Density   4.0 Mg/m³
# Spin magnetization   0.000 μB per formula unit
# SG   C2/m
# DOS at the Fermi energy   5.02 states/eV/f.u.
# ΔE_f (raw)   -116.25 kJ per mole of atoms


No. 2
# PBE-GGA KBaAgBr, relaxed
data_KBaAgBr
_chemical_formula_sum 'K1 Ba1 Ag1 Br1'
_symmetry_space_group_name_H-M 'P 1'
_symmetry_Int_Tables_number 1
_symmetry_space_group_name_Hall 'P 1'
_cell_length_a 5.869
_cell_length_b 5.869
_cell_length_c 5.869
_cell_angle_alpha 60.00
_cell_angle_beta 60.00
_cell_angle_gamma 60.00
loop_
_atom_site_label
_atom_site_fract_x
_atom_site_fract_y
_atom_site_fract_z
K1 0.500 0.500 0.500
Br1 0.750 0.750 0.750
Ag1 0.250 0.250 0.250
Ba1 0.000 0.000 0.000
# Crystal system   cubic
# Density   4.2 Mg/m³
# Spin magnetization   0.007 μB per formula unit
# SG   F-43m
# DOS at the Fermi energy   4.20 states/eV/f.u.
# ΔE_f (raw)   -68.15 kJ per mole of atoms


No. 3
# PBE-GGA BaLaAg2Br8, relaxed
data_BaLaAg2Br8
_chemical_formula_sum 'Ba1 La1 Ag2 Br8'
_symmetry_space_group_name_H-M 'P 1'
_symmetry_Int_Tables_number 1
_symmetry_space_group_name_Hall 'P 1'
_cell_length_a 7.329
_cell_length_b 7.329
_cell_length_c 9.157
_cell_angle_alpha 113.59
_cell_angle_beta 113.59
_cell_angle_gamma 90.00
loop_
_atom_site_label
_atom_site_fract_x
_atom_site_fract_y
_atom_site_fract_z
Ag1 0.250 0.750 0.500
Ag2 0.500 0.500 0.000
Br1 0.146 0.606 0.860
Br2 0.714 0.254 0.860
Br3 0.622 0.684 0.670
Br4 0.014 0.378 0.330
Br5 0.316 0.952 0.330
Br6 0.394 0.286 0.140
Br7 0.048 0.986 0.670
Br8 0.746 0.854 0.140
La1 0.000 0.000 0.000
Ba1 0.750 0.250 0.500
# Crystal system   tetragonal
# Density   4.6 Mg/m³
# Spin magnetization   0.000 μB per formula unit
# SG   I-4
# DOS at the Fermi energy   10.90 states/eV/f.u.
# ΔE_f (raw)   -123.51 kJ per mole of atoms


No. 4
# PBE-GGA Ba2LaAgBr, relaxed
data_Ba2LaAgBr
_chemical_formula_sum 'Ba2 La1 Ag1 Br1'
_symmetry_space_group_name_H-M 'P 1'
_symmetry_Int_Tables_number 1
_symmetry_space_group_name_Hall 'P 1'
_cell_length_a 6.681
_cell_length_b 5.437
_cell_length_c 6.681
_cell_angle_alpha 90.00
_cell_angle_beta 90.00
_cell_angle_gamma 90.00
loop_
_atom_site_label
_atom_site_fract_x
_atom_site_fract_y
_atom_site_fract_z
La1 0.000 0.000 0.000
Ba1 0.500 0.000 0.000
Ba2 0.000 0.000 0.500
Br1 0.500 0.500 0.500
Ag1 0.000 0.500 0.000
# Crystal system   tetragonal
# Density   4.1 Mg/m³
# Spin magnetization   0.000 μB per formula unit
# SG   P4/mmm
# DOS at the Fermi energy   7.84 states/eV/f.u.
# ΔE_f (raw)   14.88 kJ per mole of atoms


No. 5
# PBE-GGA Ba2LiAgBr6, relaxed
data_Ba2LiAgBr6
_chemical_formula_sum 'Ba4 Li2 Ag2 Br12'
_symmetry_space_group_name_H-M 'P 1'
_symmetry_Int_Tables_number 1
_symmetry_space_group_name_Hall 'P 1'
_cell_length_a 7.274
_cell_length_b 8.321
_cell_length_c 10.395
_cell_angle_alpha 90.00
_cell_angle_beta 90.75
_cell_angle_gamma 90.00
loop_
_atom_site_label
_atom_site_fract_x
_atom_site_fract_y
_atom_site_fract_z
Ba1 0.539 0.608 0.750
Ba2 0.039 0.892 0.250
Ba3 0.961 0.108 0.750
Ba4 0.461 0.392 0.250
Br1 0.111 0.478 0.745
Br2 0.815 0.828 0.948
Br3 0.830 0.813 0.555
Br4 0.685 0.328 0.552
Br5 0.389 0.978 0.755
Br6 0.185 0.172 0.052
Br7 0.889 0.522 0.255
Br8 0.670 0.313 0.945
Br9 0.315 0.672 0.448
Br10 0.330 0.687 0.055
Br11 0.170 0.187 0.445
Br12 0.611 0.022 0.245
Li1 0.500 0.000 0.000
Li2 0.000 0.500 0.500
Ag1 0.500 0.000 0.500
Ag2 0.000 0.500 0.000
# Crystal system   monoclinic
# Density   4.6 Mg/m³
# Spin magnetization   0.000 μB per formula unit
# SG   P2_1/c
# DOS at the Fermi energy   0.00 states/eV/f.u.
# ΔE_f (raw)   -162.53 kJ per mole of atoms


No. 6
# PBE-GGA BaMg2AgBr, relaxed
data_BaMg2AgBr
_chemical_formula_sum 'Ba1 Mg2 Ag1 Br1'
_symmetry_space_group_name_H-M 'P 1'
_symmetry_Int_Tables_number 1
_symmetry_space_group_name_Hall 'P 1'
_cell_length_a 5.430
_cell_length_b 6.212
_cell_length_c 5.430
_cell_angle_alpha 90.00
_cell_angle_beta 90.00
_cell_angle_gamma 90.00
loop_
_atom_site_label
_atom_site_fract_x
_atom_site_fract_y
_atom_site_fract_z
Mg1 0.000 0.000 0.500
Mg2 0.500 0.000 0.000
Br1 0.000 0.000 0.000
Ag1 0.500 0.500 0.500
Ba1 0.000 0.500 0.000
# Crystal system   tetragonal
# Density   3.4 Mg/m³
# Spin magnetization   0.000 μB per formula unit
# SG   P4/mmm
# DOS at the Fermi energy   2.57 states/eV/f.u.
# ΔE_f (raw)   4.85 kJ per mole of atoms